An optimized crystal structure of Sc2ZnPb. Source: Alexandria, functional GGA-PBEsol.

Properties
For the energy of formation from the pure elements, the calculation gives 0.204 eV per atom. The space-group type is R-3m (166). The crystal system is trigonal. Its magnetic moment is 0.002 μB/f.u. The total energy is -4.494 eV per atom.

Unit cell a=10.875 b=10.875 c=10.875 alpha=16.94 beta=16.94 gamma=16.94
Sites, in units of the cell vectors:
1 Sc 0.087 0.087 0.087
2 Sc 0.913 0.913 0.913
3 Zn 0.000 0.000 0.000
4 Pb 0.500 0.500 0.500